No. 1
A plane-wave DFT calculation with PBE was carried out for a relaxed Rb2ErTmO4 crystal.

Cell: 3.412 3.412 12.857 Å, 90.00 90.00 120.00°
Element x y z (fractional)
Rb 0.333 0.667 0.250
Rb 0.667 0.333 0.750
Er 0.000 0.000 0.500
Tm 0.000 0.000 0.000
O 0.333 0.667 0.589
O 0.333 0.667 0.912
O 0.667 0.333 0.088
O 0.667 0.333 0.411

Summary:
DFT total energy: -6.576 eV per atom

No. 2
A plane-wave DFT calculation with PBE was carried out for a relaxed Er6ReO12 crystal.

Cell: 6.370 6.370 6.370 Å, 98.79 98.79 98.79°
Element x y z (fractional)
Er 0.111 0.644 0.816
Er 0.184 0.889 0.356
Er 0.356 0.184 0.889
Er 0.644 0.816 0.111
Er 0.816 0.111 0.644
Er 0.889 0.356 0.184
Re 0.500 0.500 0.500
O 0.069 0.323 0.911
O 0.089 0.931 0.677
O 0.201 0.537 0.424
O 0.323 0.911 0.069
O 0.424 0.201 0.537
O 0.463 0.576 0.799
O 0.537 0.424 0.201
O 0.576 0.799 0.463
O 0.677 0.089 0.931
O 0.799 0.463 0.576
O 0.911 0.069 0.323
O 0.931 0.677 0.089

Summary:
DFT total energy: -8.437 eV per atom

No. 3
A plane-wave DFT calculation with PBE was carried out for a relaxed Er2Re2O5 crystal.

Cell: 3.501 3.501 9.392 Å, 90.00 90.00 90.00°
Element x y z (fractional)
Er 0.000 0.000 0.235
Er 0.000 0.000 0.765
Re 0.500 0.500 0.000
Re 0.500 0.500 0.500
O 0.000 0.000 0.000
O 0.000 0.500 0.376
O 0.000 0.500 0.624
O 0.500 0.000 0.376
O 0.500 0.000 0.624

Summary:
DFT total energy: -8.011 eV per atom

No. 4
A plane-wave DFT calculation with PBE was carried out for a relaxed Er2Re2O5 crystal.

Cell: 3.962 3.962 6.726 Å, 90.00 90.00 90.00°
Element x y z (fractional)
Er 0.000 0.000 0.000
Er 0.000 0.000 0.500
Re 0.500 0.500 0.175
Re 0.500 0.500 0.825
O 0.000 0.500 0.242
O 0.000 0.500 0.758
O 0.500 0.000 0.242
O 0.500 0.000 0.758
O 0.500 0.500 0.500

Summary:
DFT total energy: -8.354 eV per atom

No. 5
A plane-wave DFT calculation with PBE was carried out for a relaxed ErRe2O4 crystal.

Cell: 6.332 6.332 6.332 Å, 60.00 60.00 60.00°
Element x y z (fractional)
Er 0.125 0.125 0.125
Er 0.875 0.875 0.875
Re 0.000 0.500 0.500
Re 0.500 0.000 0.500
Re 0.500 0.500 0.000
Re 0.500 0.500 0.500
O 0.262 0.262 0.262
O 0.262 0.262 0.713
O 0.262 0.713 0.262
O 0.287 0.738 0.738
O 0.713 0.262 0.262
O 0.738 0.287 0.738
O 0.738 0.738 0.287
O 0.738 0.738 0.738

Summary:
DFT total energy: -8.180 eV per atom

No. 6
A plane-wave DFT calculation with PBE was carried out for a relaxed Er2SO2 crystal.

Cell: 4.060 15.383 3.643 Å, 90.00 90.00 90.00°
Element x y z (fractional)
Er 0.000 0.117 0.000
Er 0.000 0.883 0.000
Er 0.500 0.383 0.000
Er 0.500 0.617 0.000
S 0.000 0.500 0.000
S 0.500 0.000 0.000
O 0.000 0.175 0.500
O 0.000 0.825 0.500
O 0.500 0.325 0.500
O 0.500 0.675 0.500

Summary:
DFT total energy: -7.019 eV per atom

No. 7
A plane-wave DFT calculation with PBE was carried out for a relaxed Er2S2O crystal.

Cell: 8.179 6.825 6.794 Å, 90.00 99.58 90.00°
Element x y z (fractional)
Er 0.076 0.144 0.321
Er 0.076 0.356 0.821
Er 0.362 0.554 0.251
Er 0.362 0.946 0.751
Er 0.638 0.054 0.249
Er 0.638 0.446 0.749
Er 0.924 0.644 0.179
Er 0.924 0.856 0.679
S 0.181 0.632 0.577
S 0.181 0.868 0.077
S 0.424 0.223 0.470
S 0.424 0.277 0.970
S 0.576 0.723 0.030
S 0.576 0.777 0.530
S 0.819 0.132 0.923
S 0.819 0.368 0.423
O 0.117 0.087 0.650
O 0.117 0.413 0.150
O 0.883 0.587 0.850
O 0.883 0.913 0.350

Summary:
DFT total energy: -7.106 eV per atom

No. 8
A plane-wave DFT calculation with PBE was carried out for a relaxed Er2SiSO4 crystal.

Cell: 8.125 8.125 6.815 Å, 90.00 90.00 98.16°
Element x y z (fractional)
Er 0.172 0.828 0.977
Er 0.190 0.310 0.750
Er 0.310 0.190 0.250
Er 0.328 0.672 0.477
Er 0.672 0.328 0.523
Er 0.690 0.810 0.750
Er 0.810 0.690 0.250
Er 0.828 0.172 0.023
Si 0.064 0.436 0.250
Si 0.436 0.064 0.750
Si 0.564 0.936 0.250
Si 0.936 0.564 0.750
S 0.009 0.991 0.255
S 0.491 0.509 0.755
S 0.509 0.491 0.245
S 0.991 0.009 0.745
O 0.110 0.638 0.235
O 0.119 0.330 0.063
O 0.138 0.610 0.735
O 0.170 0.381 0.437
O 0.330 0.119 0.937
O 0.362 0.890 0.235
O 0.381 0.170 0.563
O 0.390 0.862 0.735
O 0.610 0.138 0.265
O 0.619 0.830 0.437
O 0.638 0.110 0.765
O 0.670 0.881 0.063
O 0.830 0.619 0.563
O 0.862 0.390 0.265
O 0.881 0.670 0.937
O 0.890 0.362 0.765

Summary:
DFT total energy: -7.861 eV per atom

No. 9
A plane-wave DFT calculation with PBE was carried out for a relaxed SmErSO2 crystal.

Cell: 3.824 3.824 6.619 Å, 90.00 90.00 120.00°
Element x y z (fractional)
Sm 0.000 0.000 0.000
Er 0.667 0.333 0.437
S 0.333 0.667 0.714
O 0.000 0.000 0.357
O 0.667 0.333 0.098

Summary:
DFT total energy: -7.830 eV per atom

No. 10
A plane-wave DFT calculation with PBE was carried out for a relaxed ErTmSO2 crystal.

Cell: 3.734 3.734 6.505 Å, 90.00 90.00 120.00°
Element x y z (fractional)
Er 0.000 0.000 0.000
Tm 0.333 0.667 0.566
S 0.667 0.333 0.283
O 0.000 0.000 0.652
O 0.333 0.667 0.911

Summary:
DFT total energy: -7.854 eV per atom

No. 11
A plane-wave DFT calculation with PBE was carried out for a relaxed YErSO2 crystal.

Cell: 3.772 3.772 6.559 Å, 90.00 90.00 120.00°
Element x y z (fractional)
Y 0.000 0.000 0.000
Er 0.333 0.667 0.564
S 0.667 0.333 0.283
O 0.000 0.000 0.648
O 0.333 0.667 0.908

Summary:
DFT total energy: -8.214 eV per atom

No. 12
A plane-wave DFT calculation with PBE was carried out for a relaxed Er3Sb5O12 crystal.

Cell: 9.215 9.215 9.215 Å, 109.47 109.47 109.47°
Element x y z (fractional)
Er 0.250 0.500 0.750
Er 0.250 0.750 0.500
Er 0.500 0.250 0.750
Er 0.500 0.750 0.250
Er 0.750 0.250 0.500
Er 0.750 0.500 0.250
Sb 0.000 0.000 0.522
Sb 0.000 0.277 0.277
Sb 0.000 0.522 0.000
Sb 0.000 0.723 0.723
Sb 0.277 0.000 0.277
Sb 0.277 0.277 0.000
Sb 0.478 0.478 0.478
Sb 0.522 0.000 0.000
Sb 0.723 0.000 0.723
Sb 0.723 0.723 0.000
O 0.000 0.202 0.479
O 0.000 0.479 0.202
O 0.000 0.503 0.709
O 0.000 0.709 0.503
O 0.202 0.000 0.479
O 0.202 0.479 0.000
O 0.205 0.497 0.497
O 0.277 0.798 0.798
O 0.291 0.291 0.795
O 0.291 0.795 0.291
O 0.479 0.000 0.202
O 0.479 0.202 0.000
O 0.497 0.205 0.497
O 0.497 0.497 0.205
O 0.503 0.000 0.709
O 0.503 0.709 0.000
O 0.521 0.521 0.723
O 0.521 0.723 0.521
O 0.709 0.000 0.503
O 0.709 0.503 0.000
O 0.723 0.521 0.521
O 0.795 0.291 0.291
O 0.798 0.277 0.798
O 0.798 0.798 0.277

Summary:
DFT total energy: -6.938 eV per atom